Here is a geometry-optimized Sr2TlIrI structure from the Alexandria database. Energies are from PBE.

Results
The formation energy from raw total energies is -0.531 eV/atom. For the density of states at the Fermi level, the calculation gives 0.465 states/eV per atom.

abc: 5.893 5.893 5.240
angles: 90.00 90.00 90.00
Sites, in units of the cell vectors:
Sr 0.500 0.000 0.000
Sr 0.000 0.500 0.000
Ir 0.000 0.000 0.000
Tl 0.000 0.000 0.500
I 0.500 0.500 0.500